1.
# TaMnPO2, optimized geometry, DFT PBE with a Hubbard U
# * relative energy among the computed polymorphs: 0 meV per atom
# * Fermi-level density of states: 0.037 states/eV per atom
# * space-group type: P4/mmm, No. 123
data_TaMnPO2
_cell_length_a 3.895
_cell_length_b 3.895
_cell_length_c 5.254
_cell_angle_alpha 90.00
_cell_angle_beta 90.00
_cell_angle_gamma 90.00
_symmetry_space_group_name_H-M 'P 1'
_symmetry_Int_Tables_number 1
loop_
_symmetry_equiv_pos_as_xyz
'x,y,z'
loop_
_atom_site_label
_atom_site_fract_x
_atom_site_fract_y
_atom_site_fract_z
P1 0.000 0.000 0.500
O1 0.000 0.500 0.000
O2 0.500 0.000 0.000
Ta1 0.000 0.000 0.000
Mn1 0.500 0.500 0.500

***

2.
# TaMnP2O, optimized geometry, DFT PBE with a Hubbard U
# * relative energy among the computed polymorphs: 709 meV per atom
# * Fermi-level density of states: 0.627 states/eV per atom
# * space-group type: P4/mmm, No. 123
data_TaMnP2O
_cell_length_a 4.667
_cell_length_b 4.667
_cell_length_c 3.513
_cell_angle_alpha 90.00
_cell_angle_beta 90.00
_cell_angle_gamma 90.00
_symmetry_space_group_name_H-M 'P 1'
_symmetry_Int_Tables_number 1
loop_
_symmetry_equiv_pos_as_xyz
'x,y,z'
loop_
_atom_site_label
_atom_site_fract_x
_atom_site_fract_y
_atom_site_fract_z
O1 0.000 0.000 0.500
P1 0.500 0.000 0.000
P2 0.000 0.500 0.000
Mn1 0.000 0.000 0.000
Ta1 0.500 0.500 0.500

***

3.
# Ta2MnP6O21, optimized geometry, DFT PBE with a Hubbard U
# * Fermi-level density of states: 0.000 states/eV per atom
# * energy: -7.936 eV per atom
# * space-group type: P2_1/c, No. 14
data_Ta2MnP6O21
_cell_length_a 6.703
_cell_length_b 8.131
_cell_length_c 15.778
_cell_angle_alpha 90.00
_cell_angle_beta 89.83
_cell_angle_gamma 90.00
_symmetry_space_group_name_H-M 'P 1'
_symmetry_Int_Tables_number 1
loop_
_symmetry_equiv_pos_as_xyz
'x,y,z'
loop_
_atom_site_label
_atom_site_fract_x
_atom_site_fract_y
_atom_site_fract_z
Mn1 0.500 0.000 0.500
Mn2 0.000 0.500 0.000
O1 0.077 0.261 0.693
O2 0.177 0.515 0.579
O3 0.248 0.516 0.091
O4 0.685 0.872 0.411
O5 0.323 0.015 0.921
O6 0.242 0.568 0.250
O7 0.500 0.500 0.500
O8 0.852 0.421 0.248
O9 0.138 0.276 0.957
O10 0.860 0.708 0.652
O11 0.203 0.600 0.426
O12 0.000 0.000 0.000
O13 0.360 0.792 0.152
O14 0.185 0.628 0.911
O15 0.703 0.900 0.926
O16 0.570 0.549 0.177
O17 0.923 0.739 0.307
O18 0.352 0.079 0.748
O19 0.362 0.776 0.543
O20 0.758 0.432 0.750
O21 0.258 0.068 0.250
O22 0.638 0.224 0.457
O23 0.430 0.451 0.823
O24 0.823 0.485 0.421
O25 0.797 0.400 0.574
O26 0.423 0.761 0.807
O27 0.297 0.100 0.074
O28 0.677 0.985 0.079
O29 0.640 0.208 0.848
O30 0.315 0.128 0.589
O31 0.742 0.932 0.750
O32 0.648 0.921 0.252
O33 0.815 0.372 0.089
O34 0.748 0.984 0.591
O35 0.252 0.016 0.409
O36 0.148 0.579 0.752
O37 0.140 0.292 0.348
O38 0.862 0.724 0.043
O39 0.930 0.049 0.323
O40 0.070 0.951 0.677
O41 0.577 0.239 0.193
O42 0.752 0.484 0.909
P1 0.288 0.611 0.828
P2 0.157 0.103 0.338
P3 0.808 0.891 0.013
P4 0.343 0.603 0.162
P5 0.712 0.389 0.172
P6 0.308 0.609 0.513
P7 0.692 0.391 0.487
P8 0.788 0.889 0.328
P9 0.657 0.397 0.838
P10 0.843 0.897 0.662
P11 0.212 0.111 0.672
P12 0.192 0.109 0.987
Ta1 0.968 0.482 0.667
Ta2 0.468 0.018 0.167
Ta3 0.032 0.518 0.333
Ta4 0.532 0.982 0.833

***

4.
# Tb2MnPO8, optimized geometry, DFT PBE with a Hubbard U
# * Fermi-level density of states: 0.772 states/eV per atom
# * energy: -7.000 eV per atom
# * space-group type: P-3m1, No. 164
data_Tb2MnPO8
_cell_length_a 5.131
_cell_length_b 5.131
_cell_length_c 6.214
_cell_angle_alpha 90.00
_cell_angle_beta 90.00
_cell_angle_gamma 120.00
_symmetry_space_group_name_H-M 'P 1'
_symmetry_Int_Tables_number 1
loop_
_symmetry_equiv_pos_as_xyz
'x,y,z'
loop_
_atom_site_label
_atom_site_fract_x
_atom_site_fract_y
_atom_site_fract_z
O1 0.845 0.689 0.841
O2 0.689 0.845 0.159
O3 0.845 0.155 0.841
O4 0.667 0.333 0.485
O5 0.333 0.667 0.515
O6 0.155 0.845 0.159
O7 0.155 0.311 0.159
O8 0.311 0.155 0.841
P1 0.000 0.000 0.000
Tb1 0.333 0.667 0.865
Tb2 0.667 0.333 0.135
Mn1 0.000 0.000 0.500

***

5.
# TbMn2PO8, optimized geometry, DFT PBE with a Hubbard U
# * Fermi-level density of states: 0.459 states/eV per atom
# * energy: -6.909 eV per atom
# * space-group type: P-3m1, No. 164
data_TbMn2PO8
_cell_length_a 5.691
_cell_length_b 5.691
_cell_length_c 5.693
_cell_angle_alpha 90.00
_cell_angle_beta 90.00
_cell_angle_gamma 120.00
_symmetry_space_group_name_H-M 'P 1'
_symmetry_Int_Tables_number 1
loop_
_symmetry_equiv_pos_as_xyz
'x,y,z'
loop_
_atom_site_label
_atom_site_fract_x
_atom_site_fract_y
_atom_site_fract_z
O1 0.667 0.333 0.214
O2 0.142 0.284 0.181
O3 0.284 0.142 0.819
O4 0.142 0.858 0.181
O5 0.716 0.858 0.181
O6 0.858 0.716 0.819
O7 0.858 0.142 0.819
O8 0.333 0.667 0.786
Mn1 0.333 0.667 0.085
Mn2 0.667 0.333 0.915
Tb1 0.000 0.000 0.500
P1 0.000 0.000 0.000

***

6.
# MnTcP2O, optimized geometry, DFT PBE with a Hubbard U
# * relative energy among the computed polymorphs: 0 meV per atom
# * Fermi-level density of states: 0.458 states/eV per atom
# * space-group type: P4/mmm, No. 123
data_MnTcP2O
_cell_length_a 4.808
_cell_length_b 4.808
_cell_length_c 3.699
_cell_angle_alpha 90.00
_cell_angle_beta 90.00
_cell_angle_gamma 90.00
_symmetry_space_group_name_H-M 'P 1'
_symmetry_Int_Tables_number 1
loop_
_symmetry_equiv_pos_as_xyz
'x,y,z'
loop_
_atom_site_label
_atom_site_fract_x
_atom_site_fract_y
_atom_site_fract_z
P1 0.500 0.000 0.000
P2 0.000 0.500 0.000
Tc1 0.000 0.000 0.000
O1 0.000 0.000 0.500
Mn1 0.500 0.500 0.500

***

7.
# MnTcP2O, optimized geometry, DFT PBE with a Hubbard U
# * relative energy among the computed polymorphs: 573 meV per atom
# * Fermi-level density of states: 0.591 states/eV per atom
# * space-group type: P4/mmm, No. 123
data_MnTcP2O
_cell_length_a 4.694
_cell_length_b 4.694
_cell_length_c 3.524
_cell_angle_alpha 90.00
_cell_angle_beta 90.00
_cell_angle_gamma 90.00
_symmetry_space_group_name_H-M 'P 1'
_symmetry_Int_Tables_number 1
loop_
_symmetry_equiv_pos_as_xyz
'x,y,z'
loop_
_atom_site_label
_atom_site_fract_x
_atom_site_fract_y
_atom_site_fract_z
P1 0.500 0.000 0.000
P2 0.000 0.500 0.000
O1 0.000 0.000 0.500
Mn1 0.000 0.000 0.000
Tc1 0.500 0.500 0.500

***

8.
# MnTePO2, optimized geometry, DFT PBE with a Hubbard U
# * relative energy among the computed polymorphs: 6 meV per atom
# * Fermi-level density of states: 0.606 states/eV per atom
# * space-group type: P4/mmm, No. 123
data_MnTePO2
_cell_length_a 3.803
_cell_length_b 3.803
_cell_length_c 5.370
_cell_angle_alpha 90.00
_cell_angle_beta 90.00
_cell_angle_gamma 90.00
_symmetry_space_group_name_H-M 'P 1'
_symmetry_Int_Tables_number 1
loop_
_symmetry_equiv_pos_as_xyz
'x,y,z'
loop_
_atom_site_label
_atom_site_fract_x
_atom_site_fract_y
_atom_site_fract_z
P1 0.000 0.000 0.500
Te1 0.500 0.500 0.500
O1 0.500 0.000 0.000
O2 0.000 0.500 0.000
Mn1 0.000 0.000 0.000

***

9.
# MnTePO2, optimized geometry, DFT PBE with a Hubbard U
# * relative energy among the computed polymorphs: 0 meV per atom
# * Fermi-level density of states: 0.274 states/eV per atom
# * space-group type: P4/mmm, No. 123
data_MnTePO2
_cell_length_a 3.991
_cell_length_b 3.991
_cell_length_c 5.351
_cell_angle_alpha 90.00
_cell_angle_beta 90.00
_cell_angle_gamma 90.00
_symmetry_space_group_name_H-M 'P 1'
_symmetry_Int_Tables_number 1
loop_
_symmetry_equiv_pos_as_xyz
'x,y,z'
loop_
_atom_site_label
_atom_site_fract_x
_atom_site_fract_y
_atom_site_fract_z
O1 0.500 0.000 0.000
O2 0.000 0.500 0.000
Mn1 0.500 0.500 0.500
P1 0.000 0.000 0.500
Te1 0.000 0.000 0.000

***

10.
# Mn3VTe2P6O24, optimized geometry, DFT PBE with a Hubbard U
# * energy: -7.083 eV per atom
# * space-group type: R3, No. 146
data_Mn3VTe2P6O24
_cell_length_a 8.907
_cell_length_b 8.907
_cell_length_c 8.907
_cell_angle_alpha 59.67
_cell_angle_beta 59.67
_cell_angle_gamma 59.67
_symmetry_space_group_name_H-M 'P 1'
_symmetry_Int_Tables_number 1
loop_
_symmetry_equiv_pos_as_xyz
'x,y,z'
loop_
_atom_site_label
_atom_site_fract_x
_atom_site_fract_y
_atom_site_fract_z
O1 0.688 0.906 0.474
O2 0.524 0.297 0.090
O3 0.956 0.397 0.205
O4 0.259 0.923 0.063
O5 0.912 0.742 0.080
O6 0.825 0.985 0.609
O7 0.405 0.739 0.589
O8 0.589 0.405 0.739
O9 0.397 0.205 0.956
O10 0.297 0.090 0.524
O11 0.609 0.825 0.985
O12 0.923 0.063 0.259
O13 0.240 0.437 0.605
O14 0.080 0.912 0.742
O15 0.063 0.259 0.923
O16 0.742 0.080 0.912
O17 0.605 0.240 0.437
O18 0.985 0.609 0.825
O19 0.906 0.474 0.688
O20 0.437 0.605 0.240
O21 0.739 0.589 0.405
O22 0.205 0.956 0.397
O23 0.090 0.524 0.297
O24 0.474 0.688 0.906
Mn1 0.658 0.658 0.658
Mn2 0.167 0.167 0.167
Mn3 0.349 0.349 0.349
Te1 0.512 0.512 0.512
Te2 0.023 0.023 0.023
P1 0.045 0.459 0.748
P2 0.748 0.045 0.459
P3 0.459 0.748 0.045
P4 0.243 0.939 0.553
P5 0.553 0.243 0.939
P6 0.939 0.553 0.243
V1 0.854 0.854 0.854

***

11.
# ThMn2PO8, optimized geometry, DFT PBE with a Hubbard U
# * Fermi-level density of states: 0.392 states/eV per atom
# * energy: -7.384 eV per atom
# * space-group type: P-3m1, No. 164
data_ThMn2PO8
_cell_length_a 4.884
_cell_length_b 4.884
_cell_length_c 6.226
_cell_angle_alpha 90.00
_cell_angle_beta 90.00
_cell_angle_gamma 120.00
_symmetry_space_group_name_H-M 'P 1'
_symmetry_Int_Tables_number 1
loop_
_symmetry_equiv_pos_as_xyz
'x,y,z'
loop_
_atom_site_label
_atom_site_fract_x
_atom_site_fract_y
_atom_site_fract_z
O1 0.667 0.333 0.425
O2 0.840 0.680 0.840
O3 0.840 0.160 0.840
O4 0.160 0.840 0.160
O5 0.333 0.667 0.575
O6 0.320 0.160 0.840
O7 0.160 0.320 0.160
O8 0.680 0.840 0.160
Mn1 0.333 0.667 0.868
Mn2 0.667 0.333 0.132
P1 0.000 0.000 0.000
Th1 0.000 0.000 0.500

***

12.
# Ti3MnP6O24, optimized geometry, DFT PBE with a Hubbard U
# * Fermi-level density of states: 0.679 states/eV per atom
# * energy: -7.615 eV per atom
# * space-group type: R3, No. 146
data_Ti3MnP6O24
_cell_length_a 8.869
_cell_length_b 8.869
_cell_length_c 8.869
_cell_angle_alpha 57.63
_cell_angle_beta 57.63
_cell_angle_gamma 57.63
_symmetry_space_group_name_H-M 'P 1'
_symmetry_Int_Tables_number 1
loop_
_symmetry_equiv_pos_as_xyz
'x,y,z'
loop_
_atom_site_label
_atom_site_fract_x
_atom_site_fract_y
_atom_site_fract_z
O1 0.256 0.341 0.985
O2 0.286 0.498 0.136
O3 0.136 0.286 0.498
O4 0.220 0.596 0.412
O5 0.956 0.064 0.692
O6 0.766 0.643 0.007
O7 0.496 0.865 0.719
O8 0.575 0.783 0.416
O9 0.341 0.985 0.256
O10 0.719 0.496 0.865
O11 0.064 0.692 0.956
O12 0.596 0.412 0.220
O13 0.783 0.416 0.575
O14 0.865 0.719 0.496
O15 0.007 0.766 0.643
O16 0.498 0.136 0.286
O17 0.416 0.575 0.783
O18 0.643 0.007 0.766
O19 0.030 0.953 0.297
O20 0.953 0.297 0.030
O21 0.692 0.956 0.064
O22 0.985 0.256 0.341
O23 0.297 0.030 0.953
O24 0.412 0.220 0.596
P1 0.969 0.253 0.526
P2 0.461 0.032 0.759
P3 0.526 0.969 0.253
P4 0.032 0.759 0.461
P5 0.253 0.526 0.969
P6 0.759 0.461 0.032
Ti1 0.641 0.641 0.641
Ti2 0.361 0.361 0.361
Ti3 0.858 0.858 0.858
Mn1 0.147 0.147 0.147